Entry 1:
Entry from Alexandria: a relaxed Ba4AsPd crystal (PBE).

Output
Energy relative to the elements   -615 meV/atom
SG   P2/m
Total magnetization   0.31 μB/cell

Cell: 4.7200 8.2822 8.1565 Å, 109.11 90.00 90.00°
Fractional coordinates of all 6 atoms:
1 Ba 0.0000 0.2421 0.7253
2 Ba 0.0000 0.7579 0.2747
3 Ba 0.5000 0.7457 0.7249
4 Ba 0.5000 0.2543 0.2751
5 As 0.0000 0.5000 0.5000
6 Pd 0.5000 0.0000 0.5000



Entry 2:
Entry from Alexandria: a relaxed BeCr2Pd crystal (PBE).

Output
Energy relative to the elements   347 meV/atom
SG   I-42d
Total magnetization   0.00 μB/cell

Cell: 3.2856 3.2856 9.4699 Å, 80.01 80.01 90.00°
Fractional coordinates of all 8 atoms:
1 Cr 0.5906 0.1250 0.2500
2 Cr 0.1594 0.6250 0.2500
3 Cr 0.3750 0.4094 0.7500
4 Cr 0.8750 0.8406 0.7500
5 Pd 0.0000 0.0000 0.0000
6 Pd 0.7500 0.2500 0.5000
7 Be 0.5000 0.5000 0.0000
8 Be 0.2500 0.7500 0.5000



Entry 3:
Entry from Alexandria: a relaxed Ti2Co2P crystal (PBE).

Output
Energy relative to the elements   -503 meV/atom
SG   P4/mbm
ΔE to the lowest computed polymorph   0 meV/atom
Total magnetization   0.00 μB/cell

Cell: 5.6812 5.6812 4.0604 Å, 90.00 90.00 90.00°
Fractional coordinates of all 10 atoms:
1 P 0.0000 0.0000 0.0000
2 P 0.5000 0.5000 0.0000
3 Co 0.3536 0.8536 0.0000
4 Co 0.8536 0.6464 0.0000
5 Co 0.6464 0.1464 0.0000
6 Co 0.1464 0.3536 0.0000
7 Ti 0.1729 0.6729 0.5000
8 Ti 0.6729 0.8271 0.5000
9 Ti 0.8271 0.3271 0.5000
10 Ti 0.3271 0.1729 0.5000



Entry 4:
Entry from Alexandria: a relaxed Cs3KP crystal (PBE).

Output
Energy relative to the elements   684 meV/atom
SG   Pm-3m
ΔE to the lowest computed polymorph   664 meV/atom
Total magnetization   0.99 μB/cell

Cell: 7.9077 7.9077 7.9077 Å, 90.00 90.00 90.00°
Each line ends with the local moment (μB).
Fractional coordinates of all 5 atoms:
1 Cs 0.0000 0.5000 0.0000  -0.01
2 Cs 0.0000 0.0000 0.5000  -0.01
3 Cs 0.5000 0.0000 0.0000  -0.01
4 K 0.0000 0.0000 0.0000  -0.01
5 P 0.5000 0.5000 0.5000  0.61